Entry from Alexandria via LeMat-Bulk: SrEr2Ni after structural relaxation (PBE).

As for the polymorph energy (0 for the lowest one): 0.000 eV per atom. The calculation puts the formation energy at -0.09 eV per atom. The calculated volume is 28.68 Å³/atom. The total moment is 0.0000 μB/atom.

Unit cell a=3.4623 b=3.4623 c=9.5684 alpha=90.00 beta=90.00 gamma=90.00
With the nearest neighbours (Å) after each atom.
Space group P4/mmm (No. 123)
One atom of each set of equivalent atoms:
Sr1 0.0000 0.0000 0.0000 [1 per cell]  4 Sr 3.46
Er1 0.5000 0.5000 0.3358 [2 per cell]  4 Ni 2.91, 1 Er 3.14
Ni1 0.0000 0.0000 0.5000 [1 per cell]  8 Er 2.91